# MoAs2SeO PBE with a Hubbard U optimized geometry
# Offset from the most stable computed form ... 655 meV per atom
# VASP energy ... -3.938 eV/atom
data_MoAs2SeO
_chemical_formula_sum 'Mo1 As2 Se1 O1'
_cell_length_a 4.877
_cell_length_b 4.877
_cell_length_c 4.751
_cell_angle_alpha 90.00
_cell_angle_beta 90.00
_cell_angle_gamma 90.00
_symmetry_space_group_name_H-M 'P 4/m m m'
_symmetry_Int_Tables_number 123
_symmetry_space_group_name_Hall '-P 4 2'
loop_
_atom_site_label
_atom_site_fract_x
_atom_site_fract_y
_atom_site_fract_z
Mo1 0.000 0.000 0.000
As1 0.000 0.500 0.000
Se1 0.000 0.000 0.500
O1 0.500 0.500 0.500